Below is a relaxed NdTm2Pt crystal, with properties calculated at the PBE level.

Unit cell a=3.7989 b=6.5731 c=9.0157 alpha=90.00 beta=90.00 gamma=106.89
Closest atoms and distances in Å follow each position.
Sites, in units of the cell vectors:
1 Nd 0.9416 0.8843 0.2500  2 Pt 3.17-3.18, 4 Tm 3.54
2 Nd 0.0584 0.1157 0.7500  2 Pt 3.17-3.18, 4 Tm 3.54
3 Tm 0.3592 0.7187 0.5604  3 Pt 2.84-3.18
4 Tm 0.6408 0.2813 0.4396  3 Pt 2.84-3.18
5 Tm 0.3592 0.7187 0.9396  3 Pt 2.84-3.18
6 Tm 0.6408 0.2813 0.0604  3 Pt 2.84-3.18
7 Pt 0.7595 0.5200 0.7500  6 Tm 2.84-3.18, 2 Nd 3.17-3.18
8 Pt 0.2405 0.4800 0.2500  6 Tm 2.84-3.18, 2 Nd 3.17-3.18

Results
As for the excess energy over the best structure of this formula in the dataset: 0.022 eV per atom. The volume is 26.93 Å³ per atom. The calculation puts the total moment at 0.0 Bohr magnetons per cell. For the energy relative to the elements, the calculation gives -2.7 eV per formula unit.

Below is a relaxed NdTmPt2 crystal, with properties calculated at the PBE level.

Unit cell a=3.8182 b=4.5114 c=5.6671 alpha=90.00 beta=109.77 gamma=90.00
Closest atoms and distances in Å follow each position.
Sites, in units of the cell vectors:
1 Nd 0.7219 0.0000 0.9825  7 Pt 2.90-3.09
2 Tm 0.4466 0.5000 0.4323  7 Pt 2.96-3.05
3 Pt 0.1689 0.5000 0.8768  2 Pt 2.93, 3 Tm 2.96-3.05, 4 Nd 3.01
4 Pt 0.9937 0.0000 0.5264  3 Nd 2.90-3.09, 2 Pt 2.93, 4 Tm 3.00

Results
As for the excess energy over the best structure of this formula in the dataset: 0.000 eV per atom. The volume is 22.97 Å³ per atom. The calculation puts the total moment at 0.0 Bohr magnetons per cell. For the energy relative to the elements, the calculation gives -4.9 eV per formula unit.

Below is a relaxed NdTm2Pt2 crystal, with properties calculated at the PBE level.

Unit cell a=4.6618 b=5.3550 c=10.8429 alpha=108.35 beta=90.00 gamma=90.00
Closest atoms and distances in Å follow each position.
Sites, in units of the cell vectors:
1 Nd 0.2500 0.7901 0.2202  5 Pt 3.02-3.12
2 Nd 0.7500 0.2099 0.7798  5 Pt 3.02-3.12
3 Tm 0.2500 0.7800 0.8855  5 Pt 2.76-2.92
4 Tm 0.7500 0.2200 0.1145  5 Pt 2.76-2.92
5 Tm 0.2500 0.2836 0.5260  4 Pt 2.85-2.90
6 Tm 0.7500 0.7164 0.4740  4 Pt 2.85-2.90
7 Pt 0.2500 0.8536 0.6322  5 Tm 2.85-2.90, 2 Nd 3.12
8 Pt 0.7500 0.1464 0.3678  5 Tm 2.85-2.90, 2 Nd 3.12
9 Pt 0.2500 0.3222 0.9754  4 Tm 2.76-2.92, 2 Pt 2.95, 3 Nd 3.02-3.08
10 Pt 0.7500 0.6778 0.0246  4 Tm 2.76-2.92, 2 Pt 2.95, 3 Nd 3.02-3.08

Results
The volume is 25.69 Å³ per atom. The calculation puts the total moment at 0.0 Bohr magnetons per cell. For the energy relative to the elements, the calculation gives -5.2 eV per formula unit.

Below is a relaxed NdTmPt2 crystal, with properties calculated at the PBE level.

Unit cell a=4.1214 b=4.1214 c=7.0750 alpha=73.07 beta=73.07 gamma=60.00
Closest atoms and distances in Å follow each position.
Sites, in units of the cell vectors:
1 Tm 0.0000 0.0000 0.0000  6 Pt 2.84
2 Nd 0.5000 0.5000 0.5000  6 Pt 2.97
3 Pt 0.7440 0.7440 0.7679  3 Tm 2.84, 3 Nd 2.97
4 Pt 0.2560 0.2560 0.2321  3 Tm 2.84, 3 Nd 2.97

Results
As for the excess energy over the best structure of this formula in the dataset: 0.110 eV per atom. The volume is 24.50 Å³ per atom. The calculation puts the total moment at 0.0 Bohr magnetons per cell. For the energy relative to the elements, the calculation gives -4.4 eV per formula unit.

- Among the records above, which one has the highest energy relative to the elements?
  NdTm2Pt